11
Lattice="9.055 -2.474 0.000 9.055 2.474 0.000 -2.040 0.000 7.582" Properties=species:S:1:pos:R:3 comment="GGA-PBE La2Er8Tl, relaxed" sg="C2/m (12)" dft_energy_ev_per_atom=-4.45 pbc="T T T"
La 3.704 0.000 0.992
La 12.366 0.000 6.590
Er 0.330 0.000 1.694
Er 1.042 0.000 5.090
Er 4.582 0.000 4.497
Er 7.354 0.000 0.436
Er 8.716 0.000 7.145
Er 11.488 0.000 3.085
Er 15.028 0.000 2.492
Er 15.739 0.000 5.888
Tl 8.035 0.000 3.791